DFT (PBE-GGA) results for a geometry-optimized RbSb2TeP structure.

Computed properties:
Offset from the most stable computed form, meV/atom: 0
VASP energy, Ha/atom: -0.1240
Formation energy from raw total energies, meV per atom: 178
Density of states at the Fermi level, states/eV/cell: 6.01

Unit cell a=5.3701 b=5.3701 c=5.6679 alpha=90.00 beta=90.00 gamma=90.00
Atoms (fractional coordinates):
Sb 0.0000 0.5000 0.0000
Sb 0.5000 0.0000 0.0000
Te 0.0000 0.0000 0.5000
Rb 0.5000 0.5000 0.5000
P 0.0000 0.0000 0.0000